Record 1
# SCAN CrOsCl2, single point on PBEsol structure
data_CrOsCl2
_cell_length_a 2.8388
_cell_length_b 3.0082
_cell_length_c 8.0648
_cell_angle_alpha 90.00
_cell_angle_beta 90.00
_cell_angle_gamma 90.00
_symmetry_space_group_name_H-M 'P 1'
_symmetry_Int_Tables_number 1
loop_
_symmetry_equiv_pos_as_xyz
'x,y,z'
loop_
_atom_site_label
_atom_site_fract_x
_atom_site_fract_y
_atom_site_fract_z
Cr1 0.0000 0.0000 0.0000
Os1 0.5000 0.5000 0.1759
Cl1 0.0000 0.5000 0.4150
Cl2 0.5000 0.0000 0.7859
# Total moment (μB/atom): 0.000
# Energy relative to the lowest polymorph listed for this composition (meV/atom): 0
# Raw total energy (eV/atom): -26.67
# D(E_F) (states/eV/cell): 2.9

Record 2
# SCAN CrOs2Cl, single point on PBEsol structure
data_CrOs2Cl
_cell_length_a 4.3640
_cell_length_b 4.3640
_cell_length_c 2.8429
_cell_angle_alpha 90.00
_cell_angle_beta 90.00
_cell_angle_gamma 90.00
_symmetry_space_group_name_H-M 'P 1'
_symmetry_Int_Tables_number 1
loop_
_symmetry_equiv_pos_as_xyz
'x,y,z'
loop_
_atom_site_label
_atom_site_fract_x
_atom_site_fract_y
_atom_site_fract_z
Cr1 0.0000 0.0000 0.0000
Os1 0.0000 0.5000 0.5000
Os2 0.5000 0.0000 0.5000
Cl1 0.5000 0.5000 0.0000
# Total moment (μB/atom): 0.552
# Energy relative to the lowest polymorph listed for this composition (meV/atom): 716
# Raw total energy (eV/atom): -41.31
# D(E_F) (states/eV/cell): 3.7

Record 3
# SCAN CrOs2Cl, single point on PBEsol structure
data_CrOs2Cl
_cell_length_a 5.1021
_cell_length_b 5.1021
_cell_length_c 5.1021
_cell_angle_alpha 148.41
_cell_angle_beta 128.64
_cell_angle_gamma 61.56
_symmetry_space_group_name_H-M 'P 1'
_symmetry_Int_Tables_number 1
loop_
_symmetry_equiv_pos_as_xyz
'x,y,z'
loop_
_atom_site_label
_atom_site_fract_x
_atom_site_fract_y
_atom_site_fract_z
Cr1 0.0000 0.0000 0.0000
Os1 0.2662 0.7662 0.5000
Os2 0.7338 0.2338 0.5000
Cl1 0.5000 0.5000 0.0000
# Total moment (μB/atom): 0.511
# Energy relative to the lowest polymorph listed for this composition (meV/atom): 346
# Raw total energy (eV/atom): -41.68
# D(E_F) (states/eV/cell): 3.9

Record 4
# SCAN Cr2PCl, single point on PBEsol structure
data_Cr2PCl
_cell_length_a 4.3763
_cell_length_b 4.3763
_cell_length_c 4.3763
_cell_angle_alpha 60.00
_cell_angle_beta 60.00
_cell_angle_gamma 60.00
_symmetry_space_group_name_H-M 'P 1'
_symmetry_Int_Tables_number 1
loop_
_symmetry_equiv_pos_as_xyz
'x,y,z'
loop_
_atom_site_label
_atom_site_fract_x
_atom_site_fract_y
_atom_site_fract_z
Cr1 0.2500 0.2500 0.2500
Cr2 0.7500 0.7500 0.7500
P1 0.0000 0.0000 0.0000
Cl1 0.5000 0.5000 0.5000
# Total moment (μB/atom): 1.949
# Energy relative to the lowest polymorph listed for this composition (meV/atom): 80
# Raw total energy (eV/atom): -13.89
# D(E_F) (states/eV/cell): 0.9

Asked for raw formation energy across the records above, the calculation gives -111.3 1216.7 846.7 -105.4 meV per atom in order.